1) LiAl3Br: relaxed, GGA-PBE.

Unit cell a=4.7947 b=4.7947 c=4.7947 alpha=90.00 beta=90.00 gamma=90.00
Fractional positions:
Li1 0.0000 0.0000 0.0000
Al1 0.0000 0.0000 0.5000
Al2 0.0000 0.5000 0.0000
Al3 0.5000 0.0000 0.0000
Br1 0.5000 0.5000 0.5000

Calculated values
space group: Pm-3m
spin magnetization: 0.0 μB/cell
density of states at the Fermi level: 1.92 states/eV/cell

***

2) LiAl3Br: relaxed, GGA-PBE.

Unit cell a=5.4507 b=5.4507 c=5.4507 alpha=90.00 beta=90.00 gamma=90.00
Fractional positions:
Li1 0.0000 0.0000 0.0000
Al1 0.0000 0.5000 0.5000
Al2 0.5000 0.0000 0.5000
Al3 0.5000 0.5000 0.0000
Br1 0.5000 0.5000 0.5000

Calculated values
space group: Pm-3m
spin magnetization: 0.0 μB/cell
density of states at the Fermi level: 2.43 states/eV/cell

***

Stability ranking, top entry: 1); the second entry is 0.373 eV/atom less favorable.

***

1) LiAlBr4: relaxed, GGA-PBE.

Unit cell a=6.5292 b=6.5292 c=6.5292 alpha=60.00 beta=60.00 gamma=60.00
Fractional positions:
Li1 0.0000 0.0000 0.0000
Al1 0.7500 0.7500 0.7500
Br1 0.3751 0.3751 0.3751
Br2 0.3751 0.3751 0.8746
Br3 0.3751 0.8746 0.3751
Br4 0.8746 0.3751 0.3751

Calculated values
space group: F-43m
spin magnetization: 2.0 μB/cell
density of states at the Fermi level: 3.06 states/eV/cell

***

2) LiAlBr4: relaxed, GGA-PBE.

Unit cell a=7.3232 b=7.3232 c=9.7602 alpha=90.00 beta=90.00 gamma=90.00
Fractional positions:
Li1 0.0000 0.0000 0.0000
Li2 0.0000 0.0000 0.5000
Al1 0.0000 0.5000 0.0000
Al2 0.5000 0.0000 0.5000
Br1 0.2316 0.2686 0.0000
Br2 0.2316 0.7314 0.0000
Br3 0.2686 0.2316 0.5000
Br4 0.2686 0.7684 0.5000
Br5 0.7314 0.2316 0.5000
Br6 0.7314 0.7684 0.5000
Br7 0.7684 0.2686 0.0000
Br8 0.7684 0.7314 0.0000

Calculated values
space group: P4_2/mmc
spin magnetization: 0.0 μB/cell
density of states at the Fermi level: 0.00 states/eV/cell

***

3) LiAlBr4: relaxed, GGA-PBE.

Unit cell a=6.9112 b=6.9112 c=6.9112 alpha=125.90 beta=125.90 gamma=80.05
Fractional positions:
Li1 0.0000 0.0000 0.0000
Al1 0.7500 0.2500 0.5000
Br1 0.0874 0.5947 0.9343
Br2 0.4053 0.3396 0.4927
Br3 0.6604 0.1531 0.0657
Br4 0.8469 0.9126 0.5073

Calculated values
space group: I-4
spin magnetization: 0.0 μB/cell
density of states at the Fermi level: 0.00 states/eV/cell

***

Stability ranking, top entry: 3); the second entry is 0.233 eV/atom less favorable.

***

1) Li2AlBr6: relaxed, GGA-PBE.

Unit cell a=9.8635 b=9.8635 c=7.1934 alpha=108.27 beta=108.27 gamma=87.73
Fractional positions:
Li1 0.1216 0.2660 0.4841
Li2 0.2660 0.1216 0.9841
Li3 0.7340 0.8784 0.0159
Li4 0.8784 0.7340 0.5159
Al1 0.3008 0.6992 0.7500
Al2 0.6992 0.3008 0.2500
Br1 0.0830 0.2672 0.1249
Br2 0.1275 0.7198 0.4526
Br3 0.2672 0.0830 0.6249
Br4 0.2746 0.4793 0.7949
Br5 0.2802 0.8725 0.0474
Br6 0.4793 0.2746 0.2949
Br7 0.5207 0.7254 0.7051
Br8 0.7198 0.1275 0.9526
Br9 0.7254 0.5207 0.2051
Br10 0.7328 0.9170 0.3751
Br11 0.8725 0.2802 0.5474
Br12 0.9170 0.7328 0.8751

Calculated values
space group: C2/c
spin magnetization: 2.1 μB/cell
density of states at the Fermi level: 11.64 states/eV/cell

***

2) Li2AlBr6: relaxed, GGA-PBE.

Unit cell a=6.6908 b=6.2916 c=13.1527 alpha=90.00 beta=120.36 gamma=90.00
Fractional positions:
Li1 0.1767 0.0321 0.1703
Li2 0.1767 0.4679 0.6703
Li3 0.8233 0.5321 0.3297
Li4 0.8233 0.9679 0.8297
Al1 0.5000 0.0000 0.0000
Al2 0.5000 0.5000 0.5000
Br1 0.1709 0.1814 0.8271
Br2 0.1709 0.3186 0.3271
Br3 0.2066 0.7250 0.5166
Br4 0.2066 0.7750 0.0166
Br5 0.4807 0.2354 0.6393
Br6 0.4807 0.2646 0.1393
Br7 0.5193 0.7354 0.8607
Br8 0.5193 0.7646 0.3607
Br9 0.7934 0.2250 0.9834
Br10 0.7934 0.2750 0.4834
Br11 0.8291 0.6814 0.6729
Br12 0.8291 0.8186 0.1729

Calculated values
space group: P2_1/c
spin magnetization: 1.2 μB/cell
density of states at the Fermi level: 17.96 states/eV/cell

***

Stability ranking, top entry: 1); the second entry is 0.006 eV/atom less favorable.

***

1) LiAlBr3: relaxed, GGA-PBE.

Unit cell a=5.1141 b=5.1141 c=5.1141 alpha=90.00 beta=90.00 gamma=90.00
Fractional positions:
Li1 0.0000 0.0000 0.0000
Al1 0.5000 0.5000 0.5000
Br1 0.0000 0.0000 0.5000
Br2 0.0000 0.5000 0.0000
Br3 0.5000 0.0000 0.0000

Calculated values
space group: Pm-3m
spin magnetization: 1.0 μB/cell
density of states at the Fermi level: 5.66 states/eV/cell

***

2) LiAlBr3: relaxed, GGA-PBE.

Unit cell a=5.3092 b=5.3092 c=5.3092 alpha=90.00 beta=90.00 gamma=90.00
Fractional positions:
Li1 0.0000 0.0000 0.0000
Al1 0.5000 0.5000 0.5000
Br1 0.0000 0.5000 0.5000
Br2 0.5000 0.0000 0.5000
Br3 0.5000 0.5000 0.0000

Calculated values
space group: Pm-3m
spin magnetization: 0.0 μB/cell
density of states at the Fermi level: 0.95 states/eV/cell

***

Stability ranking, top entry: 2); the second entry is 0.370 eV/atom less favorable.

***

1) LiAl2BrO6: relaxed, GGA-PBE.

Unit cell a=5.6631 b=5.6631 c=10.2877 alpha=90.00 beta=90.00 gamma=120.00
Fractional positions:
Li1 0.0000 0.0000 0.0000
Li2 0.0000 0.0000 0.5000
Al1 0.3333 0.6667 0.0000
Al2 0.3333 0.6667 0.5000
Al3 0.6667 0.3333 0.0000
Al4 0.6667 0.3333 0.5000
Br1 0.0000 0.0000 0.2500
Br2 0.0000 0.0000 0.7500
O1 0.0000 0.4164 0.0701
O2 0.0000 0.4164 0.4299
O3 0.0000 0.5836 0.5701
O4 0.0000 0.5836 0.9299
O5 0.4164 0.0000 0.0701
O6 0.4164 0.0000 0.4299
O7 0.4164 0.4164 0.5701
O8 0.4164 0.4164 0.9299
O9 0.5836 0.0000 0.5701
O10 0.5836 0.0000 0.9299
O11 0.5836 0.5836 0.0701
O12 0.5836 0.5836 0.4299

Calculated values
space group: P6_3/mcm
spin magnetization: 0.0 μB/cell

***

2) LiAl2BrO6: relaxed, GGA-PBE.

Unit cell a=5.1638 b=5.1638 c=9.7812 alpha=90.00 beta=90.00 gamma=63.30
Fractional positions:
Li1 0.0000 0.0000 0.0000
Li2 0.0000 0.0000 0.5000
Al1 0.3074 0.3074 0.0000
Al2 0.3074 0.3074 0.5000
Al3 0.6926 0.6926 0.0000
Al4 0.6926 0.6926 0.5000
Br1 0.1780 0.8220 0.7500
Br2 0.8220 0.1780 0.2500
O1 0.0147 0.6378 0.6013
O2 0.0147 0.6378 0.8987
O3 0.3622 0.9853 0.6013
O4 0.3622 0.9853 0.8987
O5 0.4229 0.5771 0.0692
O6 0.4229 0.5771 0.4308
O7 0.5771 0.4229 0.5692
O8 0.5771 0.4229 0.9308
O9 0.6378 0.0147 0.1013
O10 0.6378 0.0147 0.3987
O11 0.9853 0.3622 0.1013
O12 0.9853 0.3622 0.3987

Calculated values
space group: Cmcm
spin magnetization: 0.0 μB/cell

***

Stability ranking, top entry: 2); the second entry is 0.137 eV/atom less favorable.